No. 1
# Zn8Te

Crystalline Zn8Te at its relaxed geometry (PBE, the Alexandria database).

CIF file:
```
data_Zn8Te
_space_group_name_H-M_alt 'I 4/m m m'
_space_group_IT_number 139
_space_group_name_Hall '-I 4 2'
_cell_length_a 8.8014
_cell_length_b 8.8014
_cell_length_c 4.0478
_cell_angle_alpha 90.00
_cell_angle_beta 90.00
_cell_angle_gamma 90.00
loop_
_atom_site_label
_atom_site_fract_x
_atom_site_fract_y
_atom_site_fract_z
_atom_site_occupancy
Zn1 0.0000 0.3466 0.0000 1
Zn2 0.1829 0.1829 0.5000 1
Te1 0.0000 0.0000 0.0000 1
```

## Properties
**N(E_F)**: 7.65 states/eV per cell


No. 2
# ZnTe7

Crystalline ZnTe7 at its relaxed geometry (PBE, the Alexandria database).

CIF file:
```
data_ZnTe7
_space_group_name_H-M_alt 'F m -3 m'
_space_group_IT_number 225
_space_group_name_Hall '-F 4 2 3'
_cell_length_a 9.5945
_cell_length_b 9.5945
_cell_length_c 9.5945
_cell_angle_alpha 90.00
_cell_angle_beta 90.00
_cell_angle_gamma 90.00
loop_
_atom_site_label
_atom_site_fract_x
_atom_site_fract_y
_atom_site_fract_z
_atom_site_occupancy
Zn1 0.0000 0.0000 0.0000 1
Te1 0.0000 0.0000 0.5000 1
Te2 0.0000 0.2500 0.2500 1
```

## Properties
**N(E_F)**: 25.93 states/eV per cell


No. 3
# Zn3Te

Crystalline Zn3Te at its relaxed geometry (PBE, the Alexandria database).

CIF file:
```
data_Zn3Te
_space_group_name_H-M_alt 'C 1 2/m 1'
_space_group_IT_number 12
_cell_length_a 7.5531
_cell_length_b 3.9005
_cell_length_c 5.8725
_cell_angle_alpha 90.00
_cell_angle_beta 107.03
_cell_angle_gamma 90.00
loop_
_space_group_symop_operation_xyz
'x,y,z'
'-x,-y,-z'
'-x,y,-z'
'x,-y,z'
'x+1/2,y+1/2,z'
'-x+1/2,-y+1/2,-z'
'-x+1/2,y+1/2,-z'
'x+1/2,-y+1/2,z'
loop_
_atom_site_label
_atom_site_fract_x
_atom_site_fract_y
_atom_site_fract_z
_atom_site_occupancy
Zn1 0.0000 0.0000 0.0000 1
Zn2 0.2427 0.5000 0.1998 1
Te1 0.0000 0.5000 0.5000 1
```

## Properties
**N(E_F)**: 3.14 states/eV per cell


No. 4
# Zn3Te

Crystalline Zn3Te at its relaxed geometry (PBE, the Alexandria database).

CIF file:
```
data_Zn3Te
_space_group_name_H-M_alt 'P 63/m m c'
_space_group_IT_number 194
_space_group_name_Hall '-P 6c 2c'
_cell_length_a 6.9464
_cell_length_b 6.9464
_cell_length_c 4.0002
_cell_angle_alpha 90.00
_cell_angle_beta 90.00
_cell_angle_gamma 120.00
loop_
_atom_site_label
_atom_site_fract_x
_atom_site_fract_y
_atom_site_fract_z
_atom_site_occupancy
Zn1 0.1495 0.2990 0.2500 1
Te1 0.3333 0.6667 0.7500 1
```

## Properties
**N(E_F)**: 4.78 states/eV per cell


No. 5
# Zr4ZnTe

Crystalline Zr4ZnTe at its relaxed geometry (PBE, the Alexandria database).

CIF file:
```
data_Zr4ZnTe
_space_group_name_H-M_alt 'F -4 3 m'
_space_group_IT_number 216
_space_group_name_Hall 'F -4 2 3'
_cell_length_a 8.2029
_cell_length_b 8.2029
_cell_length_c 8.2029
_cell_angle_alpha 90.00
_cell_angle_beta 90.00
_cell_angle_gamma 90.00
loop_
_atom_site_label
_atom_site_fract_x
_atom_site_fract_y
_atom_site_fract_z
_atom_site_occupancy
Zr1 0.1235 0.1235 0.3765 1
Zn1 0.2500 0.2500 0.7500 1
Te1 0.0000 0.0000 0.0000 1
```

## Properties
**N(E_F)**: 33.58 states/eV per cell


No. 6
# Zr2ZnTe2

Crystalline Zr2ZnTe2 at its relaxed geometry (PBE, the Alexandria database).

CIF file:
```
data_Zr2ZnTe2
_space_group_name_H-M_alt 'I 4/m m m'
_space_group_IT_number 139
_space_group_name_Hall '-I 4 2'
_cell_length_a 5.1163
_cell_length_b 5.1163
_cell_length_c 11.4621
_cell_angle_alpha 90.00
_cell_angle_beta 90.00
_cell_angle_gamma 90.00
loop_
_atom_site_label
_atom_site_fract_x
_atom_site_fract_y
_atom_site_fract_z
_atom_site_occupancy
Zr1 0.0000 0.0000 0.1283 1
Zn1 0.0000 0.0000 0.5000 1
Te1 0.0000 0.5000 0.2500 1
```

## Properties
**N(E_F)**: 10.62 states/eV per cell


No. 7
# Zr3ZnTe

Crystalline Zr3ZnTe at its relaxed geometry (PBE, the Alexandria database).

CIF file:
```
data_Zr3ZnTe
_space_group_name_H-M_alt 'P m -3 m'
_space_group_IT_number 221
_space_group_name_Hall '-P 4 2 3'
_cell_length_a 4.9923
_cell_length_b 4.9923
_cell_length_c 4.9923
_cell_angle_alpha 90.00
_cell_angle_beta 90.00
_cell_angle_gamma 90.00
loop_
_atom_site_label
_atom_site_fract_x
_atom_site_fract_y
_atom_site_fract_z
_atom_site_occupancy
Zr1 0.0000 0.0000 0.5000 1
Zn1 0.0000 0.0000 0.0000 1
Te1 0.5000 0.5000 0.5000 1
```

## Properties
**N(E_F)**: 6.33 states/eV per cell


No. 8
# Zr2ZnTe2

Crystalline Zr2ZnTe2 at its relaxed geometry (PBE, the Alexandria database).

CIF file:
```
data_Zr2ZnTe2
_space_group_name_H-M_alt 'P 4/m b m'
_space_group_IT_number 127
_space_group_name_Hall '-P 4 2ab'
_cell_length_a 7.8417
_cell_length_b 7.8417
_cell_length_c 3.7888
_cell_angle_alpha 90.00
_cell_angle_beta 90.00
_cell_angle_gamma 90.00
loop_
_atom_site_label
_atom_site_fract_x
_atom_site_fract_y
_atom_site_fract_z
_atom_site_occupancy
Zr1 0.1474 0.3526 0.0000 1
Zn1 0.0000 0.0000 0.0000 1
Te1 0.1491 0.6491 0.5000 1
```

## Properties
**N(E_F)**: 0.81 states/eV per cell


No. 9
# Zr2Te

Crystalline Zr2Te at its relaxed geometry (PBE, the Alexandria database).

CIF file:
```
data_Zr2Te
_space_group_name_H-M_alt 'P n n m'
_space_group_IT_number 58
_cell_length_a 6.0387
_cell_length_b 7.1073
_cell_length_c 3.7195
_cell_angle_alpha 90.00
_cell_angle_beta 90.00
_cell_angle_gamma 90.00
loop_
_space_group_symop_operation_xyz
'x,y,z'
'-x,-y,-z'
'-x,-y,z'
'x,y,-z'
'x+1/2,-y+1/2,-z+1/2'
'-x+1/2,y+1/2,z+1/2'
'-x+1/2,y+1/2,-z+1/2'
'x+1/2,-y+1/2,z+1/2'
loop_
_atom_site_label
_atom_site_fract_x
_atom_site_fract_y
_atom_site_fract_z
_atom_site_occupancy
Zr1 0.1939 0.1437 0.0000 1
Te1 0.0000 0.5000 0.0000 1
```

## Properties
**N(E_F)**: 4.72 states/eV per cell


No. 10
# Zr2Te

Crystalline Zr2Te at its relaxed geometry (PBE, the Alexandria database).

CIF file:
```
data_Zr2Te
_space_group_name_H-M_alt 'P n m a'
_space_group_IT_number 62
_cell_length_a 20.0936
_cell_length_b 3.8528
_cell_length_c 10.7553
_cell_angle_alpha 90.00
_cell_angle_beta 90.00
_cell_angle_gamma 90.00
loop_
_space_group_symop_operation_xyz
'x,y,z'
'-x,-y,-z'
'-x+1/2,-y,z+1/2'
'x+1/2,y,-z+1/2'
'x+1/2,-y+1/2,-z+1/2'
'-x+1/2,y+1/2,z+1/2'
'-x,y+1/2,-z'
'x,-y+1/2,z'
loop_
_atom_site_label
_atom_site_fract_x
_atom_site_fract_y
_atom_site_fract_z
_atom_site_occupancy
Zr1 0.0158 0.2500 0.1092 1
Zr2 0.0330 0.7500 0.3883 1
Zr3 0.1040 0.2500 0.8536 1
Zr4 0.1457 0.7500 0.0776 1
Zr5 0.1584 0.2500 0.5423 1
Zr6 0.2243 0.7500 0.7475 1
Te1 0.0727 0.7500 0.6616 1
Te2 0.1311 0.2500 0.2807 1
Te3 0.2398 0.2500 0.9622 1
```

## Properties
**N(E_F)**: 25.55 states/eV per cell


No. 11
# Zr3Te4

Crystalline Zr3Te4 at its relaxed geometry (PBE, the Alexandria database).

CIF file:
```
data_Zr3Te4
_space_group_name_H-M_alt 'P 6/m m m'
_space_group_IT_number 191
_space_group_name_Hall '-P 6 2'
_cell_length_a 6.0491
_cell_length_b 6.0491
_cell_length_c 5.6803
_cell_angle_alpha 90.00
_cell_angle_beta 90.00
_cell_angle_gamma 120.00
loop_
_atom_site_label
_atom_site_fract_x
_atom_site_fract_y
_atom_site_fract_z
_atom_site_occupancy
Zr1 0.0000 0.5000 0.0000 1
Te1 0.0000 0.0000 0.2472 1
Te2 0.3333 0.6667 0.5000 1
```

## Properties
**N(E_F)**: 5.45 states/eV per cell


No. 12
# ZrTe3

Crystalline ZrTe3 at its relaxed geometry (PBE, the Alexandria database).

CIF file:
```
data_ZrTe3
_space_group_name_H-M_alt 'P 1 21/m 1'
_space_group_IT_number 11
_cell_length_a 5.9469
_cell_length_b 3.9675
_cell_length_c 10.5666
_cell_angle_alpha 90.00
_cell_angle_beta 97.54
_cell_angle_gamma 90.00
loop_
_space_group_symop_operation_xyz
'x,y,z'
'-x,-y,-z'
'-x,y+1/2,-z'
'x,-y+1/2,z'
loop_
_atom_site_label
_atom_site_fract_x
_atom_site_fract_y
_atom_site_fract_z
_atom_site_occupancy
Zr1 0.2122 0.2500 0.3384 1
Te1 0.0651 0.2500 0.8220 1
Te2 0.2627 0.7500 0.5526 1
Te3 0.4101 0.7500 0.1742 1
```

## Properties
**N(E_F)**: 2.14 states/eV per cell


No. 13
# ZrTe3

Crystalline ZrTe3 at its relaxed geometry (PBE, the Alexandria database).

CIF file:
```
data_ZrTe3
_space_group_name_H-M_alt 'P m m n'
_space_group_IT_number 59
_cell_length_a 5.1081
_cell_length_b 7.3409
_cell_length_c 5.7041
_cell_angle_alpha 90.00
_cell_angle_beta 90.00
_cell_angle_gamma 90.00
loop_
_space_group_symop_operation_xyz
'x,y,z'
'-x,-y,-z'
'-x+1/2,-y+1/2,z'
'x+1/2,y+1/2,-z'
'x+1/2,-y,-z'
'-x+1/2,y,z'
'-x,y+1/2,-z'
'x,-y+1/2,z'
loop_
_atom_site_label
_atom_site_fract_x
_atom_site_fract_y
_atom_site_fract_z
_atom_site_occupancy
Zr1 0.2500 0.2500 0.1620 1
Te1 0.2500 0.5034 0.7063 1
Te2 0.2500 0.7500 0.1375 1
```

## Properties
**N(E_F)**: 5.23 states/eV per cell


No. 14
# Zr4Te

Crystalline Zr4Te at its relaxed geometry (PBE, the Alexandria database).

CIF file:
```
data_Zr4Te
_space_group_name_H-M_alt 'P m -3 m'
_space_group_IT_number 221
_space_group_name_Hall '-P 4 2 3'
_cell_length_a 5.2393
_cell_length_b 5.2393
_cell_length_c 5.2393
_cell_angle_alpha 90.00
_cell_angle_beta 90.00
_cell_angle_gamma 90.00
loop_
_atom_site_label
_atom_site_fract_x
_atom_site_fract_y
_atom_site_fract_z
_atom_site_occupancy
Zr1 0.0000 0.0000 0.0000 1
Zr2 0.0000 0.5000 0.5000 1
Te1 0.5000 0.5000 0.5000 1
```

## Properties
**N(E_F)**: 6.44 states/eV per cell


No. 15
# ZrTe3

Crystalline ZrTe3 at its relaxed geometry (PBE, the Alexandria database).

CIF file:
```
data_ZrTe3
_space_group_name_H-M_alt 'C m m m'
_space_group_IT_number 65
_space_group_name_Hall '-C 2 2'
_cell_length_a 4.7279
_cell_length_b 4.7516
_cell_length_c 11.1850
_cell_angle_alpha 90.00
_cell_angle_beta 90.00
_cell_angle_gamma 90.00
loop_
_atom_site_label
_atom_site_fract_x
_atom_site_fract_y
_atom_site_fract_z
_atom_site_occupancy
Zr1 0.0000 0.0000 0.0000 1
Te1 0.0000 0.0000 0.5000 1
Te2 0.0000 0.5000 0.1719 1
```

## Properties
**N(E_F)**: 8.00 states/eV per cell


No. 16
# Zr4Te

Crystalline Zr4Te at its relaxed geometry (PBE, the Alexandria database).

CIF file:
```
data_Zr4Te
_space_group_name_H-M_alt 'I 4/m'
_space_group_IT_number 87
_space_group_name_Hall '-I 4'
_cell_length_a 7.5684
_cell_length_b 7.5684
_cell_length_c 4.0053
_cell_angle_alpha 90.00
_cell_angle_beta 90.00
_cell_angle_gamma 90.00
loop_
_atom_site_label
_atom_site_fract_x
_atom_site_fract_y
_atom_site_fract_z
_atom_site_occupancy
Zr1 0.0993 0.3023 0.0000 1
Te1 0.0000 0.0000 0.5000 1
```

## Properties
**N(E_F)**: 12.87 states/eV per cell


No. 17
# ZrTe3

Crystalline ZrTe3 at its relaxed geometry (PBE, the Alexandria database).

CIF file:
```
data_ZrTe3
_space_group_name_H-M_alt 'P m -3 m'
_space_group_IT_number 221
_space_group_name_Hall '-P 4 2 3'
_cell_length_a 4.7445
_cell_length_b 4.7445
_cell_length_c 4.7445
_cell_angle_alpha 90.00
_cell_angle_beta 90.00
_cell_angle_gamma 90.00
loop_
_atom_site_label
_atom_site_fract_x
_atom_site_fract_y
_atom_site_fract_z
_atom_site_occupancy
Zr1 0.0000 0.0000 0.0000 1
Te1 0.0000 0.5000 0.5000 1
```

## Properties
**N(E_F)**: 4.86 states/eV per cell


No. 18
# ZrTe5

Crystalline ZrTe5 at its relaxed geometry (PBE, the Alexandria database).

CIF file:
```
data_ZrTe5
_space_group_name_H-M_alt 'P 1'
_space_group_IT_number 1
_cell_length_a 4.0155
_cell_length_b 7.3753
_cell_length_c 7.9804
_cell_angle_alpha 97.17
_cell_angle_beta 104.51
_cell_angle_gamma 105.79
loop_
_space_group_symop_operation_xyz
'x,y,z'
loop_
_atom_site_label
_atom_site_fract_x
_atom_site_fract_y
_atom_site_fract_z
_atom_site_occupancy
Zr1 0.0000 0.0000 0.0000 1
Te1 0.1708 0.4095 0.9306 1
Te2 0.3230 0.9434 0.7008 1
Te3 0.4998 0.8114 0.1890 1
Te4 0.6876 0.6155 0.7570 1
Te5 0.7345 0.2274 0.2430 1
```


No. 19
# Zr2Te

Crystalline Zr2Te at its relaxed geometry (PBE, the Alexandria database).

CIF file:
```
data_Zr2Te
_space_group_name_H-M_alt 'I 4/m c m'
_space_group_IT_number 140
_space_group_name_Hall '-I 4 2c'
_cell_length_a 6.5485
_cell_length_b 6.5485
_cell_length_c 6.5453
_cell_angle_alpha 90.00
_cell_angle_beta 90.00
_cell_angle_gamma 90.00
loop_
_atom_site_label
_atom_site_fract_x
_atom_site_fract_y
_atom_site_fract_z
_atom_site_occupancy
Zr1 0.1560 0.3440 0.0000 1
Te1 0.0000 0.0000 0.2500 1
```

## Properties
**N(E_F)**: 7.49 states/eV per cell


No. 20
# Zr4Te

Crystalline Zr4Te at its relaxed geometry (PBE, the Alexandria database).

CIF file:
```
data_Zr4Te
_space_group_name_H-M_alt 'I 41/a'
_space_group_IT_number 88
_cell_length_a 6.1052
_cell_length_b 6.1052
_cell_length_c 13.0876
_cell_angle_alpha 90.00
_cell_angle_beta 90.00
_cell_angle_gamma 90.00
loop_
_space_group_symop_operation_xyz
'x,y,z'
'-x,-y,-z'
'-y+3/4,x+1/4,z+1/4'
'y+3/4,-x+1/4,-z+1/4'
'-x+1/2,-y,z+1/2'
'x+1/2,y,-z+1/2'
'y+3/4,-x+3/4,z+3/4'
'-y+3/4,x+3/4,-z+3/4'
'x+1/2,y+1/2,z+1/2'
'-x+1/2,-y+1/2,-z+1/2'
'-y+1/4,x+3/4,z+3/4'
'y+1/4,-x+3/4,-z+3/4'
'-x,-y+1/2,z'
'x,y+1/2,-z'
'y+1/4,-x+1/4,z+1/4'
'-y+1/4,x+1/4,-z+1/4'
loop_
_atom_site_label
_atom_site_fract_x
_atom_site_fract_y
_atom_site_fract_z
_atom_site_occupancy
Zr1 0.1411 0.0297 0.2007 1
Te1 0.0000 0.2500 0.6250 1
```

## Properties
**N(E_F)**: 19.46 states/eV per cell


The formation energy (no corrections) results, record by record, are as follows: 0.115 0.413 0.043 0.124 0.255 0.026 0.320 -0.537 -0.100 -0.645 -0.201 -0.693 -0.235 0.535 -0.337 -0.243 0.175 -0.463 -0.472 -0.259 eV per atom.
The magnetization results, record by record, are as follows: 0.0 0.0 0.0 0.0 0.0 0.0 0.0 0.0 0.0 0.0 0.0 0.0 0.0 0.0 0.0 0.0 0.0 0.0 0.0 0.0 μB/f.u..